Version A
A relaxed FeHgCl2 crystal, computed with PBE-GGA.

```
data_FeHgCl2
_chemical_formula_sum 'Fe2 Hg2 Cl4'
_space_group_name_H-M_alt 'C 1 2/m 1'
_space_group_IT_number 12
_space_group_name_Hall '-C 2y'
_cell_length_a 6.6676
_cell_length_b 7.7171
_cell_length_c 4.9949
_cell_angle_alpha 90.00
_cell_angle_beta 129.41
_cell_angle_gamma 90.00
loop_
_atom_site_label
_atom_site_fract_x
_atom_site_fract_y
_atom_site_fract_z
_atom_site_occupancy
Fe1 0.0000 0.0000 0.0000 1
Hg1 0.0000 0.5000 0.0000 1
Cl1 0.2500 0.2500 0.5000 1
```

Output
* magnetic moment: 6.67 μB per cell

=====

Version B
A relaxed FeHgCl2 crystal, computed with PBE-GGA.

```
data_FeHgCl2
_chemical_formula_sum 'Fe1 Hg1 Cl2'
_space_group_name_H-M_alt 'P m m m'
_space_group_IT_number 47
_space_group_name_Hall '-P 2 2'
_cell_length_a 3.7600
_cell_length_b 4.0319
_cell_length_c 5.9678
_cell_angle_alpha 90.00
_cell_angle_beta 90.00
_cell_angle_gamma 90.00
loop_
_atom_site_label
_atom_site_fract_x
_atom_site_fract_y
_atom_site_fract_z
_atom_site_occupancy
Fe1 0.0000 0.0000 0.0000 1
Hg1 0.5000 0.0000 0.5000 1
Cl1 0.0000 0.5000 0.5000 1
Cl2 0.5000 0.5000 0.0000 1
```

Output
* magnetic moment: 3.29 μB per cell

=====

Least stable = version B